Record 1
Entry from Alexandria: KSr2 at its PBEsol-relaxed geometry (meta-GGA SCAN).

```
KSr2
1.0
4.2459 0.0000 0.0000
-2.1230 3.6771 0.0000
0.0000 0.0000 10.8484
K Sr
1 2
Cartesian
0.0000 0.0000 0.0000
0.0000 2.4514 7.1060
2.1230 1.2257 3.7424
```

Calculated values
- Space-group type: P-3m1 (164)
- Calculated formation energy: 0.066 eV/atom


Record 2
Entry from Alexandria: AlTcRu2 at its PBEsol-relaxed geometry (meta-GGA SCAN).

```
AlTcRu2
1.0
2.8520 0.0000 0.0000
0.0000 2.8520 0.0000
0.0000 0.0000 6.5678
Al Tc Ru
1 1 2
Cartesian
0.0000 0.0000 0.0000
0.0000 0.0000 3.2839
1.4260 1.4260 1.5732
1.4260 1.4260 4.9946
```

Calculated values
- ΔE to the lowest computed polymorph: 0.0 meV per atom
- Space-group type: P4/mmm (123)
- Calculated formation energy: -0.412 eV/atom


Record 3
Entry from Alexandria: Fe3Ir at its PBEsol-relaxed geometry (meta-GGA SCAN).

```
Fe3Ir
1.0
3.9883 0.0000 0.0000
0.0000 5.0262 0.0000
0.0000 0.0000 4.3873
Fe Ir
6 2
Cartesian
0.9971 0.0125 0.6995
0.9971 2.5006 0.6995
0.9971 3.7696 2.9725
2.9912 1.2565 1.4148
2.9912 2.5256 3.6878
2.9912 5.0136 3.6878
0.9971 1.2565 2.9129
2.9912 3.7696 1.4744
```

Calculated values
- Space-group type: Pmmn (59)
- Calculated formation energy: 0.007 eV/atom


Record 4
Entry from Alexandria: KIn3Ru at its PBEsol-relaxed geometry (meta-GGA SCAN).

```
KIn3Ru
1.0
5.5466 0.0000 0.0000
0.0000 5.5466 0.0000
0.0000 0.0000 5.5466
K In Ru
1 3 1
Cartesian
0.0000 0.0000 0.0000
0.0000 0.0000 2.7733
0.0000 2.7733 0.0000
2.7733 0.0000 0.0000
2.7733 2.7733 2.7733
```

Calculated values
- ΔE to the lowest computed polymorph: 2054.1 meV per atom
- Space-group type: Pm-3m (221)
- Calculated formation energy: 1.809 eV/atom


Record 5
Entry from Alexandria: ZrSiAu2 at its PBEsol-relaxed geometry (meta-GGA SCAN).

```
ZrSiAu2
1.0
1.4988 0.8653 8.9415
-1.4988 0.8653 8.9415
0.0000 -1.7306 8.9415
Zr Si Au
1 1 2
Cartesian
0.0000 0.0000 0.0000
0.0000 0.0000 13.4123
0.0000 0.0000 6.4938
0.0000 0.0000 20.3308
```

Calculated values
- Energy relative to the elements, uncorrected: -0.098 eV/atom
- Space-group type: R-3m (166)


Record 6
Entry from Alexandria: BaLaZn2Ru at its PBEsol-relaxed geometry (meta-GGA SCAN).

```
BaLaZn2Ru
1.0
5.3593 0.0000 0.0000
0.0000 5.3593 0.0000
0.0000 0.0000 5.0426
Ba La Zn Ru
1 1 2 1
Cartesian
0.0000 0.0000 0.0000
2.6796 2.6796 2.5213
0.0000 2.6796 0.0000
2.6796 0.0000 0.0000
0.0000 0.0000 2.5213
```

Calculated values
- Space-group type: P4/mmm (123)
- Calculated formation energy: 1.043 eV/atom


| no. | total energy (eV per atom) |
| --- | --- |
| 1 | -17.561 |
| 2 | -28.528 |
| 3 | -31.365 |
| 4 | -26.854 |
| 5 | -44.855 |
| 6 | -27.860 |